# 1
Computed, not measured: an optimized crystal structure of Mg15Ti at the PBE-GGA level of DFT.

Properties
The calculation puts the density of states at the Fermi level at 7.01 states/eV/cell. For the formation energy, the calculation gives 3.70 kJ per mole of atoms.

Lattice parameters (Å, degrees): 6.369 6.369 10.166 90.00 90.00 120.00
Element x y z (fractional)
Mg1 0.499 0.501 0.500
Mg2 0.675 0.838 0.257
Mg3 0.162 0.838 0.257
Mg4 0.500 0.500 0.000
Mg5 0.499 0.997 0.500
Mg6 0.000 0.000 0.000
Mg7 0.162 0.838 0.743
Mg8 0.162 0.325 0.743
Mg9 0.003 0.501 0.500
Mg10 0.162 0.325 0.257
Mg11 0.675 0.838 0.743
Mg12 0.001 0.500 0.000
Mg13 0.667 0.333 0.746
Mg14 0.500 0.999 0.000
Mg15 0.667 0.333 0.254
Ti1 0.000 0.000 0.500

***

# 2
Computed, not measured: an optimized crystal structure of FePH3 at the PBE-GGA level of DFT.

Properties
The calculation puts the density of states at the Fermi level at 2.70 states/eV/cell. The energy above the most stable polymorph in this dataset is 299 meV/atom.

Lattice parameters (Å, degrees): 3.421 3.421 3.421 90.00 90.00 90.00
Element x y z (fractional)
H1 0.500 0.000 0.000
H2 0.000 0.000 0.500
H3 0.000 0.500 0.000
P1 0.000 0.000 0.000
Fe1 0.500 0.500 0.500

***

# 3
Computed, not measured: an optimized crystal structure of MgTlPb2 at the PBE-GGA level of DFT.

Properties
The calculation puts the density of states at the Fermi level at 1.40 states/eV/cell. For the formation energy, the calculation gives -1.99 kJ per mole of atoms.

Lattice parameters (Å, degrees): 11.689 11.689 11.689 16.79 16.79 16.79
Element x y z (fractional)
Mg1 0.750 0.750 0.750
Tl1 0.250 0.250 0.250
Pb1 0.494 0.494 0.494
Pb2 0.006 0.006 0.006

***

# 4
Computed, not measured: an optimized crystal structure of TbPm4Al5 at the PBE-GGA level of DFT.

Properties
The calculation puts the density of states at the Fermi level at 3.30 states/eV/cell. For the formation energy, the calculation gives -36.13 kJ per mole of atoms.

Lattice parameters (Å, degrees): 3.684 3.684 18.404 90.00 90.00 90.00
Element x y z (fractional)
Al1 0.500 0.500 0.702
Al2 0.500 0.500 0.500
Al3 0.500 0.500 0.906
Al4 0.500 0.500 0.298
Al5 0.500 0.500 0.094
Pm1 0.000 0.000 0.399
Pm2 0.000 0.000 0.197
Pm3 0.000 0.000 0.803
Pm4 0.000 0.000 0.601
Tb1 0.000 0.000 0.000

***

# 5
Computed, not measured: an optimized crystal structure of Ca2AlSb at the PBE-GGA level of DFT.

Properties
The raw formation energy comes out at -0.5015 eV/atom. The calculation puts the density of states at the Fermi level at 2.24 states/eV/cell. The energy above the most stable polymorph in this dataset is 16 meV/atom.

Lattice parameters (Å, degrees): 4.173 3.832 7.821 60.57 90.00 90.00
Element x y z (fractional)
Ca1 0.000 0.997 0.003
Ca2 0.000 0.503 0.497
Al1 0.500 0.750 0.750
Sb1 0.500 0.250 0.250

***

# 6
Computed, not measured: an optimized crystal structure of SrNiAg2 at the PBE-GGA level of DFT.

Properties
The calculation puts the density of states at the Fermi level at 1.65 states/eV/cell. For the formation energy, the calculation gives 11.67 kJ per mole of atoms.

Lattice parameters (Å, degrees): 5.555 5.555 5.555 135.81 135.81 64.27
Element x y z (fractional)
Ag1 0.500 0.500 0.000
Ag2 0.000 0.000 0.000
Ni1 0.250 0.750 0.500
Sr1 0.750 0.250 0.500

***

# 7
Computed, not measured: an optimized crystal structure of Y2Ga9Rh3 at the PBE-GGA level of DFT.

Properties
The calculation puts the density of states at the Fermi level at 11.09 states/eV/cell. For the formation energy, the calculation gives -69.11 kJ per mole of atoms.

Lattice parameters (Å, degrees): 7.578 7.578 10.494 90.02 111.02 120.18
Element x y z (fractional)
Ga1 0.455 0.810 0.435
Ga2 0.218 0.693 0.078
Ga3 0.553 0.360 0.079
Ga4 0.879 0.129 0.750
Ga5 0.330 0.290 0.248
Ga6 0.781 0.474 0.421
Ga7 0.876 0.020 0.065
Ga8 0.545 0.190 0.565
Ga9 0.541 0.082 0.252
Ga10 0.782 0.307 0.922
Ga11 0.885 0.860 0.578
Ga12 0.124 0.980 0.935
Ga13 0.121 0.871 0.250
Ga14 0.459 0.918 0.748
Ga15 0.670 0.710 0.752
Ga16 0.115 0.140 0.422
Ga17 0.219 0.526 0.579
Ga18 0.447 0.640 0.921
Rh1 0.172 0.342 0.001
Rh2 0.500 0.000 0.000
Rh3 0.500 0.500 0.500
Rh4 0.159 0.829 0.501
Rh5 0.841 0.171 0.499
Rh6 0.828 0.658 0.999
Y1 0.999 0.586 0.751
Y2 0.001 0.414 0.249
Y3 0.335 0.248 0.749
Y4 0.665 0.752 0.251

***

# 8
Computed, not measured: an optimized crystal structure of K2PBr at the PBE-GGA level of DFT.

Properties
The raw formation energy comes out at -0.5123 eV/atom. The calculation puts the density of states at the Fermi level at 1.94 states/eV/cell. The energy above the most stable polymorph in this dataset is 84 meV/atom.

Lattice parameters (Å, degrees): 6.678 6.678 5.247 87.61 87.61 37.15
Element x y z (fractional)
P1 0.512 0.512 0.373
K1 0.005 0.005 0.877
K2 0.243 0.243 0.373
Br1 0.740 0.740 0.877

***

# 9
Computed, not measured: an optimized crystal structure of SmY2In at the PBE-GGA level of DFT.

Properties
The calculation puts the density of states at the Fermi level at 7.72 states/eV/cell. The energy above the most stable polymorph in this dataset is 4 meV/atom. For the formation energy, the calculation gives -26.20 kJ per mole of atoms.

Lattice parameters (Å, degrees): 5.309 6.680 7.040 105.55 90.00 90.00
Element x y z (fractional)
Sm1 0.250 0.365 0.736
Sm2 0.750 0.635 0.264
In1 0.750 0.629 0.782
In2 0.250 0.371 0.218
Y1 0.250 0.878 0.095
Y2 0.250 0.815 0.586
Y3 0.750 0.185 0.414
Y4 0.750 0.122 0.905

***

# 10
Computed, not measured: an optimized crystal structure of BiMo3H at the PBE-GGA level of DFT.

Properties
The calculation puts the density of states at the Fermi level at 9.99 states/eV/cell. The energy above the most stable polymorph in this dataset is 2610 meV/atom.

Lattice parameters (Å, degrees): 5.082 5.082 5.082 90.00 90.00 90.00
Element x y z (fractional)
Mo1 0.500 0.000 0.000
Mo2 0.000 0.500 0.000
Mo3 0.000 0.000 0.500
Bi1 0.000 0.000 0.000
H1 0.500 0.500 0.500

***

# 11
Computed, not measured: an optimized crystal structure of Ba2BiS3 at the PBE-GGA level of DFT.

Properties
The raw formation energy comes out at -1.4293 eV/atom. The calculation puts the density of states at the Fermi level at 0.28 states/eV/cell.

Lattice parameters (Å, degrees): 4.142 5.349 9.105 107.08 103.15 90.00
Element x y z (fractional)
S1 0.166 0.166 0.332
S2 0.000 0.500 0.000
S3 0.834 0.834 0.668
Ba1 0.649 0.649 0.299
Ba2 0.351 0.351 0.701
Bi1 0.000 0.000 0.000

***

# 12
Computed, not measured: an optimized crystal structure of Th3PaGe4 at the PBE-GGA level of DFT.

Properties
The calculation puts the density of states at the Fermi level at 8.16 states/eV/cell. For the formation energy, the calculation gives -66.45 kJ per mole of atoms.

Lattice parameters (Å, degrees): 7.382 7.380 8.539 90.00 90.00 109.52
Element x y z (fractional)
Ge1 0.001 0.239 0.119
Ge2 0.501 0.239 0.881
Ge3 0.999 0.761 0.881
Ge4 0.506 0.755 0.631
Ge5 0.006 0.755 0.369
Ge6 0.499 0.761 0.119
Ge7 0.494 0.245 0.369
Ge8 0.994 0.245 0.631
Th1 0.750 0.000 0.375
Th2 0.250 0.500 0.376
Th3 0.250 0.000 0.625
Th4 0.750 0.500 0.125
Th5 0.750 0.500 0.624
Th6 0.250 0.500 0.875
Pa1 0.750 0.000 0.875
Pa2 0.250 0.000 0.125

***

# 13
Computed, not measured: an optimized crystal structure of KMnW2 at the PBE-GGA level of DFT.

Properties
The calculation puts the density of states at the Fermi level at 4.59 states/eV/cell. The energy above the most stable polymorph in this dataset is 1032 meV/atom. For the formation energy, the calculation gives 179.75 kJ per mole of atoms.

Lattice parameters (Å, degrees): 4.498 4.498 4.498 60.00 60.00 60.00
Element x y z (fractional)
W1 0.750 0.750 0.750
W2 0.250 0.250 0.250
K1 0.000 0.000 0.000
Mn1 0.500 0.500 0.500

***

# 14
Computed, not measured: an optimized crystal structure of La2Y3Ho2 at the PBE-GGA level of DFT.

Properties
The calculation puts the density of states at the Fermi level at 13.26 states/eV/cell. The energy above the most stable polymorph in this dataset is 0 meV/atom. For the formation energy, the calculation gives 6.73 kJ per mole of atoms.

Lattice parameters (Å, degrees): 5.583 3.544 12.238 98.32 103.19 90.00
Element x y z (fractional)
La1 0.570 0.570 0.140
La2 0.430 0.430 0.860
Ho1 0.145 0.645 0.290
Ho2 0.855 0.355 0.710
Y1 0.290 0.790 0.579
Y2 0.000 0.000 0.000
Y3 0.710 0.210 0.421

***

# 15
Computed, not measured: an optimized crystal structure of Zr2ScW at the PBE-GGA level of DFT.

Properties
The calculation puts the density of states at the Fermi level at 7.10 states/eV/cell. The energy above the most stable polymorph in this dataset is 0 meV/atom. For the formation energy, the calculation gives 12.46 kJ per mole of atoms.

Lattice parameters (Å, degrees): 3.424 3.424 7.292 90.00 90.00 90.00
Element x y z (fractional)
Zr1 0.000 0.000 0.964
Zr2 0.000 0.000 0.536
W1 0.500 0.500 0.750
Sc1 0.500 0.500 0.250

***

# 16
Computed, not measured: an optimized crystal structure of Ca2ErCd at the PBE-GGA level of DFT.

Properties
The calculation puts the density of states at the Fermi level at 5.47 states/eV/cell. The energy above the most stable polymorph in this dataset is 193 meV/atom. For the formation energy, the calculation gives 14.35 kJ per mole of atoms.

Lattice parameters (Å, degrees): 3.598 3.598 12.142 81.48 81.48 60.00
Element x y z (fractional)
Ca1 0.095 0.095 0.715
Ca2 0.905 0.905 0.285
Er1 0.000 0.000 0.000
Cd1 0.500 0.500 0.500

***

# 17
Computed, not measured: an optimized crystal structure of Li2PmTcO6 at the PBE-GGA level of DFT.

Properties
The raw formation energy comes out at -1.9856 eV/atom.

Lattice parameters (Å, degrees): 5.366 5.573 7.898 90.00 90.35 90.00
Element x y z (fractional)
O1 0.622 0.297 0.584
O2 0.378 0.911 0.722
O3 0.878 0.589 0.222
O4 0.190 0.140 0.446
O5 0.690 0.360 0.946
O6 0.810 0.860 0.554
O7 0.378 0.703 0.416
O8 0.122 0.203 0.084
O9 0.878 0.797 0.916
O10 0.622 0.089 0.278
O11 0.122 0.411 0.778
O12 0.310 0.640 0.054
Tc1 0.500 0.000 0.500
Tc2 0.000 0.500 0.000
Li1 0.023 0.020 0.734
Li2 0.477 0.520 0.766
Li3 0.523 0.480 0.234
Li4 0.977 0.980 0.266
Pm1 0.500 0.000 0.000
Pm2 0.000 0.500 0.500

***

# 18
Computed, not measured: an optimized crystal structure of ErSbAu at the PBE-GGA level of DFT.

Properties
The raw formation energy comes out at -0.5876 eV/atom. The calculation puts the density of states at the Fermi level at 2.47 states/eV/cell.

Lattice parameters (Å, degrees): 4.016 4.016 5.346 112.06 112.06 90.00
Element x y z (fractional)
Sb1 0.623 0.623 0.247
Er1 0.281 0.281 0.561
Au1 0.946 0.946 0.892

***

# 19
Computed, not measured: an optimized crystal structure of La3DyHo2Te6 at the PBE-GGA level of DFT.

Properties
The raw formation energy comes out at -1.4351 eV/atom. The calculation puts the density of states at the Fermi level at 7.04 states/eV/cell.

Lattice parameters (Å, degrees): 7.667 7.667 7.847 99.37 99.37 120.30
Element x y z (fractional)
Ho1 0.333 0.667 0.000
Ho2 0.667 0.333 0.000
Te1 0.412 0.077 0.232
Te2 0.588 0.923 0.768
Te3 0.077 0.412 0.232
Te4 0.743 0.743 0.232
Te5 0.257 0.257 0.768
Te6 0.923 0.588 0.768
La1 0.834 0.166 0.500
La2 0.166 0.834 0.500
La3 0.500 0.500 0.500
Dy1 0.000 0.000 0.000

***

# 20
Computed, not measured: an optimized crystal structure of Li2ZrCo2 at the PBE-GGA level of DFT.

Properties
The calculation puts the density of states at the Fermi level at 10.06 states/eV/cell. For the formation energy, the calculation gives 15.34 kJ per mole of atoms.

Lattice parameters (Å, degrees): 3.483 3.483 6.652 74.83 74.83 90.00
Element x y z (fractional)
Zr1 0.000 0.000 0.000
Co1 0.592 0.592 0.815
Co2 0.408 0.408 0.185
Li1 0.250 0.750 0.500
Li2 0.750 0.250 0.500

***

Respective size of the total moment values: 0.0; 2.8; 0.0; 0.0; 0.0; 0.0; 0.0; 2.0; 0.0; 0.0; 0.0; 0.0; 0.0; 0.0; 0.0; 0.7; 0.0; 0.0; 0.0; 1.8 Bohr magnetons per cell.